Below is HfSiOs2 after structural relaxation, with properties calculated at the GGA-PBE level.

SG = P4/mmm, No. 123
Total moment = 0.000 μB/cell
Uncorrected energy = -9.933 eV/atom
ΔE_f (raw) = -0.47 eV per atom

Unit cell a=3.1080 b=3.1080 c=6.2422 alpha=90.00 beta=90.00 gamma=90.00
With the nearest neighbours (Å) after each atom.
Sites, in units of the cell vectors:
Hf  0.0000  0.0000  0.0000  8 Os 2.79, 4 Hf 3.11, 2 Si 3.12
Si  0.0000  0.0000  0.5000  8 Os 2.61
Os  0.5000  0.5000  0.2750  4 Si 2.61, 4 Hf 2.79, 1 Os 2.81
Os  0.5000  0.5000  0.7250  4 Si 2.61, 4 Hf 2.79, 1 Os 2.81

Below is HfSiSnOs2 after structural relaxation, with properties calculated at the GGA-PBE level.

SG = P4/mmm, No. 123
Total moment = 0.000 μB/cell
Uncorrected energy = -6.361 eV/atom
ΔE_f (raw) = 2.01 eV per atom
ΔE to the lowest computed polymorph = 1222 meV per atom

Unit cell a=4.8446 b=4.8446 c=5.3458 alpha=90.00 beta=90.00 gamma=90.00
With the nearest neighbours (Å) after each atom.
Sites, in units of the cell vectors:
Hf  0.0000  0.0000  0.0000  4 Os 2.42, 2 Sn 2.67
Si  0.5000  0.5000  0.5000  4 Sn 3.43, 8 Os 3.61
Sn  0.0000  0.0000  0.5000  2 Hf 2.67
Os  0.0000  0.5000  0.0000  2 Hf 2.42
Os  0.5000  0.0000  0.0000  2 Hf 2.42

Below is HfSiSnOs2 after structural relaxation, with properties calculated at the GGA-PBE level.

SG = P4/mmm, No. 123
Total moment = 0.000 μB/cell
Uncorrected energy = -7.583 eV/atom
ΔE_f (raw) = 0.78 eV per atom
ΔE to the lowest computed polymorph = 0 meV per atom

Unit cell a=4.4346 b=4.4346 c=4.9127 alpha=90.00 beta=90.00 gamma=90.00
With the nearest neighbours (Å) after each atom.
Sites, in units of the cell vectors:
Hf  0.0000  0.0000  0.0000  4 Sn 3.14, 8 Os 3.31
Si  0.5000  0.5000  0.5000  4 Os 2.22, 2 Sn 2.46
Sn  0.5000  0.5000  0.0000  2 Si 2.46
Os  0.0000  0.5000  0.5000  2 Si 2.22
Os  0.5000  0.0000  0.5000  2 Si 2.22

Below is YHfSiOs2 after structural relaxation, with properties calculated at the GGA-PBE level.

SG = P4/mmm, No. 123
Total moment = 0.000 μB/cell
Uncorrected energy = -7.824 eV/atom
ΔE_f (raw) = 1.04 eV per atom

Unit cell a=4.8543 b=4.8543 c=4.8759 alpha=90.00 beta=90.00 gamma=90.00
With the nearest neighbours (Å) after each atom.
Sites, in units of the cell vectors:
Y  0.0000  0.0000  0.0000  4 Si 3.43, 8 Os 3.44
Hf  0.5000  0.5000  0.5000  4 Os 2.43, 2 Si 2.44
Si  0.5000  0.5000  0.0000  2 Hf 2.44
Os  0.0000  0.5000  0.5000  2 Hf 2.43
Os  0.5000  0.0000  0.5000  2 Hf 2.43

Below is SmHfOs2 after structural relaxation, with properties calculated at the GGA-PBE level.

SG = P4/mmm, No. 123
DFT formation energy = -0.26 eV per atom
Total moment = 0.000 μB/cell
Uncorrected energy = -9.548 eV/atom

Unit cell a=3.3253 b=3.3253 c=6.8906 alpha=90.00 beta=90.00 gamma=90.00
With the nearest neighbours (Å) after each atom.
Sites, in units of the cell vectors:
Sm  0.0000  0.0000  0.0000  8 Os 3.03, 4 Sm 3.33
Hf  0.0000  0.0000  0.5000  8 Os 2.81
Os  0.5000  0.5000  0.2763  4 Hf 2.81, 4 Sm 3.03, 1 Os 3.08
Os  0.5000  0.5000  0.7237  4 Hf 2.81, 4 Sm 3.03, 1 Os 3.08

Below is SmHf2Os after structural relaxation, with properties calculated at the GGA-PBE level.

SG = P4/mmm, No. 123
DFT formation energy = -0.18 eV per atom
Total moment = 0.000 μB/cell
Uncorrected energy = -9.146 eV/atom

Unit cell a=3.2816 b=3.2816 c=8.1715 alpha=90.00 beta=90.00 gamma=90.00
With the nearest neighbours (Å) after each atom.
Sites, in units of the cell vectors:
Sm  0.0000  0.0000  0.0000  4 Sm 3.28, 8 Hf 3.42
Hf  0.5000  0.5000  0.3071  4 Os 2.80
Hf  0.5000  0.5000  0.6929  4 Os 2.80
Os  0.0000  0.0000  0.5000  8 Hf 2.80

Below is SmHfZnOs after structural relaxation, with properties calculated at the GGA-PBE level.

SG = F-43m, No. 216
DFT formation energy = -0.18 eV per atom
Total moment = 0.000 μB/cell
Uncorrected energy = -6.978 eV/atom

Unit cell a=4.8292 b=4.8292 c=4.8292 alpha=60.00 beta=60.00 gamma=60.00
With the nearest neighbours (Å) after each atom.
Sites, in units of the cell vectors:
Sm  0.0000  0.0000  0.0000  4 Os 2.96, 4 Zn 2.96
Hf  0.5000  0.5000  0.5000  4 Os 2.96, 4 Zn 2.96
Zn  0.2500  0.2500  0.2500  4 Hf 2.96, 4 Sm 2.96
Os  0.7500  0.7500  0.7500  4 Hf 2.96, 4 Sm 2.96

Below is Hf2SnOs after structural relaxation, with properties calculated at the GGA-PBE level.

SG = R-3m, No. 166
DFT formation energy = -0.15 eV per atom
Total moment = 0.000 μB/cell
Uncorrected energy = -8.936 eV/atom

Unit cell a=8.9593 b=8.9593 c=8.9593 alpha=21.37 beta=21.37 gamma=21.37
With the nearest neighbours (Å) after each atom.
Sites, in units of the cell vectors:
Hf  0.2388  0.2388  0.2388  3 Os 2.70
Hf  0.7612  0.7612  0.7612  3 Os 2.70
Sn  0.0000  0.0000  0.0000  6 Hf 3.14, 6 Sn 3.32
Os  0.5000  0.5000  0.5000  6 Hf 2.70